(1)
The following is a PBE calculation of a relaxed BaPd crystal, from OQMD via LeMat-Bulk.

The calculation puts the energy at -4.079 eV/atom.

The structure belongs to space group P2_1/m (No. 11); the cell edges are 6.259, 4.707 and 25.061 Å and the angles 90.00°, 97.00° and 90.00°. The asymmetric unit holds Ba at (0.005, 0.250, 0.273), Ba at (0.161, 0.750, 0.061), Ba at (0.163, 0.750, 0.560), Ba at (0.316, 0.750, 0.894), Ba at (0.325, 0.750, 0.394), Ba at (0.484, 0.750, 0.227), Pd at (0.037, 0.250, 0.821), Pd at (0.206, 0.250, 0.155), Pd at (0.207, 0.250, 0.654), Pd at (0.367, 0.250, 0.988), Pd at (0.369, 0.250, 0.488) and Pd at (0.470, 0.750, 0.678).

=====

(2)
The following is a PBE calculation of a relaxed DyTmLu2 crystal, from OQMD via LeMat-Bulk.

As for the calculated formation energy: 0 meV/atom.

The structure belongs to space group Cmcm (No. 63); the cell edges are 7.075, 12.254 and 5.514 Å and the angles 90.00°, 90.00° and 90.00°. The asymmetric unit holds Dy at (0.000, 0.167, 0.250), Tm at (0.000, 0.334, 0.750) and Lu at (0.249, 0.417, 0.250).

=====

(3)
The following is a PBE calculation of a relaxed Ho2Nb crystal, from OQMD via LeMat-Bulk.

As for the calculated formation energy: 887 meV/atom.

The structure belongs to space group Fd-3m (No. 227, origin choice 2); the cell edges are 8.495, 8.495 and 8.495 Å and the angles 90.00°, 90.00° and 90.00°. The asymmetric unit holds Ho at (0.000, 0.000, 0.000) and Nb at (0.125, 0.125, 0.625).

=====

(4)
The following is a PBE calculation of a relaxed TaAsO5 crystal, from OQMD via LeMat-Bulk.

The calculation puts the energy at -7.870 eV/atom.

The structure belongs to space group P4/n (No. 85, origin choice 2); the cell edges are 6.525, 6.525 and 3.948 Å and the angles 90.00°, 90.00° and 90.00°. The asymmetric unit holds Ta at (0.250, 0.250, 0.218), As at (0.250, 0.750, 0.500), O at (0.047, 0.818, 0.746) and O at (0.250, 0.250, 0.750).

=====

(5)
The following is a PBE calculation of a relaxed AcTbAsO crystal, from OQMD via LeMat-Bulk.

The calculation puts the energy at -6.619 eV/atom.

The structure belongs to space group Pmc2_1 (No. 26); the cell edges are 4.380, 5.933 and 7.694 Å and the angles 90.00°, 90.00° and 90.00°. The asymmetric unit holds Ac at (0.000, 0.101, 0.000), Tb at (0.500, 0.364, 0.343), As at (0.500, 0.181, 0.701) and O at (0.000, 0.266, 0.310).

=====

(6)
The following is a PBE calculation of a relaxed SmGePPd2 crystal, from OQMD via LeMat-Bulk.

The calculation puts the energy at -5.932 eV/atom.

The structure belongs to space group I4mm (No. 107); the cell edges are 4.211, 4.211 and 10.158 Å and the angles 90.00°, 90.00° and 90.00°. The asymmetric unit holds Sm at (0.000, 0.000, 0.000), Ge at (0.000, 0.000, 0.618), P at (0.000, 0.000, 0.384) and Pd at (0.000, 0.500, 0.257).